# 1
# LiPm4In2 PBE optimized geometry
data_LiPm4In2
_chemical_formula_sum 'Li1 Pm4 In2'
_cell_length_a 9.037
_cell_length_b 9.037
_cell_length_c 9.037
_cell_angle_alpha 34.69
_cell_angle_beta 34.69
_cell_angle_gamma 34.69
_symmetry_space_group_name_H-M 'P 1'
_symmetry_Int_Tables_number 1
loop_
_symmetry_equiv_pos_as_xyz
'x,y,z'
loop_
_atom_site_label
_atom_site_type_symbol
_atom_site_fract_x
_atom_site_fract_y
_atom_site_fract_z
_atom_site_occupancy
Li1 Li 0.000 0.000 0.000 1
Pm1 Pm 0.132 0.132 0.132 1
Pm2 Pm 0.387 0.387 0.387 1
Pm3 Pm 0.613 0.613 0.613 1
Pm4 Pm 0.868 0.868 0.868 1
In1 In 0.259 0.259 0.259 1
In2 In 0.741 0.741 0.741 1
# D(E_F): 8.4 states/eV/cell
# Volume: 213.35 Å³ per cell
# Symmetry: No. 166
# VASP energy: -3.98 eV per atom



# 2
# LiPm2In9 PBE optimized geometry
data_LiPm2In9
_chemical_formula_sum 'Li1 Pm2 In9'
_cell_length_a 4.671
_cell_length_b 4.671
_cell_length_c 13.814
_cell_angle_alpha 90.00
_cell_angle_beta 90.00
_cell_angle_gamma 90.00
_symmetry_space_group_name_H-M 'P 1'
_symmetry_Int_Tables_number 1
loop_
_symmetry_equiv_pos_as_xyz
'x,y,z'
loop_
_atom_site_label
_atom_site_type_symbol
_atom_site_fract_x
_atom_site_fract_y
_atom_site_fract_z
_atom_site_occupancy
Li1 Li 0.000 0.000 0.000 1
Pm1 Pm 0.000 0.000 0.327 1
Pm2 Pm 0.000 0.000 0.673 1
In1 In 0.000 0.500 0.154 1
In2 In 0.000 0.500 0.500 1
In3 In 0.000 0.500 0.846 1
In4 In 0.500 0.000 0.154 1
In5 In 0.500 0.000 0.500 1
In6 In 0.500 0.000 0.846 1
In7 In 0.500 0.500 0.000 1
In8 In 0.500 0.500 0.334 1
In9 In 0.500 0.500 0.666 1
# D(E_F): 5.6 states/eV/cell
# Volume: 301.43 Å³ per cell
# Symmetry: No. 123
# VASP energy: -3.35 eV per atom



# 3
# Li3Pm2In4 PBE optimized geometry
data_Li3Pm2In4
_chemical_formula_sum 'Li6 Pm4 In8'
_cell_length_a 8.847
_cell_length_b 8.847
_cell_length_c 8.257
_cell_angle_alpha 90.00
_cell_angle_beta 90.00
_cell_angle_gamma 138.83
_symmetry_space_group_name_H-M 'P 1'
_symmetry_Int_Tables_number 1
loop_
_symmetry_equiv_pos_as_xyz
'x,y,z'
loop_
_atom_site_label
_atom_site_type_symbol
_atom_site_fract_x
_atom_site_fract_y
_atom_site_fract_z
_atom_site_occupancy
Li1 Li 0.000 0.000 0.000 1
Li2 Li 0.017 0.483 0.250 1
Li3 Li 0.483 0.017 0.750 1
Li4 Li 0.500 0.500 0.500 1
Li5 Li 0.517 0.983 0.250 1
Li6 Li 0.983 0.517 0.750 1
Pm1 Pm 0.105 0.895 0.403 1
Pm2 Pm 0.395 0.605 0.903 1
Pm3 Pm 0.605 0.395 0.097 1
Pm4 Pm 0.895 0.105 0.597 1
In1 In 0.172 0.828 0.015 1
In2 In 0.187 0.313 0.250 1
In3 In 0.313 0.187 0.750 1
In4 In 0.328 0.672 0.515 1
In5 In 0.672 0.328 0.485 1
In6 In 0.687 0.813 0.250 1
In7 In 0.813 0.687 0.750 1
In8 In 0.828 0.172 0.985 1
# D(E_F): 13.5 states/eV/cell
# Volume: 425.40 Å³ per cell
# Symmetry: No. 64
# VASP energy: -3.26 eV per atom



# 4
# LiPmIn2 PBE optimized geometry
data_LiPmIn2
_chemical_formula_sum 'Li2 Pm2 In4'
_cell_length_a 6.623
_cell_length_b 6.623
_cell_length_c 4.920
_cell_angle_alpha 90.00
_cell_angle_beta 90.00
_cell_angle_gamma 115.20
_symmetry_space_group_name_H-M 'P 1'
_symmetry_Int_Tables_number 1
loop_
_symmetry_equiv_pos_as_xyz
'x,y,z'
loop_
_atom_site_label
_atom_site_type_symbol
_atom_site_fract_x
_atom_site_fract_y
_atom_site_fract_z
_atom_site_occupancy
Li1 Li 0.147 0.853 0.750 1
Li2 Li 0.853 0.147 0.250 1
Pm1 Pm 0.341 0.659 0.250 1
Pm2 Pm 0.659 0.341 0.750 1
In1 In 0.140 0.315 0.750 1
In2 In 0.315 0.140 0.250 1
In3 In 0.685 0.860 0.750 1
In4 In 0.860 0.685 0.250 1
# D(E_F): 2.8 states/eV/cell
# Volume: 195.31 Å³ per cell
# Symmetry: No. 63
# VASP energy: -3.48 eV per atom



# 5
# LiPmIn2 PBE optimized geometry
data_LiPmIn2
_chemical_formula_sum 'Li1 Pm1 In2'
_cell_length_a 10.498
_cell_length_b 10.498
_cell_length_c 10.498
_cell_angle_alpha 18.58
_cell_angle_beta 18.58
_cell_angle_gamma 18.58
_symmetry_space_group_name_H-M 'P 1'
_symmetry_Int_Tables_number 1
loop_
_symmetry_equiv_pos_as_xyz
'x,y,z'
loop_
_atom_site_label
_atom_site_type_symbol
_atom_site_fract_x
_atom_site_fract_y
_atom_site_fract_z
_atom_site_occupancy
Li1 Li 0.000 0.000 0.000 1
Pm1 Pm 0.500 0.500 0.500 1
In1 In 0.257 0.257 0.257 1
In2 In 0.743 0.743 0.743 1
# D(E_F): 3.0 states/eV/cell
# Volume: 102.62 Å³ per cell
# Symmetry: No. 166
# VASP energy: -3.21 eV per atom



# 6
# LiPmIn3 PBE optimized geometry
data_LiPmIn3
_chemical_formula_sum 'Li2 Pm2 In6'
_cell_length_a 7.938
_cell_length_b 7.938
_cell_length_c 6.854
_cell_angle_alpha 104.95
_cell_angle_beta 104.95
_cell_angle_gamma 36.83
_symmetry_space_group_name_H-M 'P 1'
_symmetry_Int_Tables_number 1
loop_
_symmetry_equiv_pos_as_xyz
'x,y,z'
loop_
_atom_site_label
_atom_site_type_symbol
_atom_site_fract_x
_atom_site_fract_y
_atom_site_fract_z
_atom_site_occupancy
Li1 Li 0.017 0.017 0.255 1
Li2 Li 0.983 0.983 0.745 1
Pm1 Pm 0.375 0.375 0.050 1
Pm2 Pm 0.625 0.625 0.950 1
In1 In 0.169 0.169 0.691 1
In2 In 0.203 0.203 0.260 1
In3 In 0.412 0.412 0.584 1
In4 In 0.588 0.588 0.416 1
In5 In 0.797 0.797 0.740 1
In6 In 0.831 0.831 0.309 1
# D(E_F): 5.1 states/eV/cell
# Volume: 249.10 Å³ per cell
# Symmetry: No. 12
# VASP energy: -3.28 eV per atom



Number 1: size of the total moment 0.00 μB per atom. Number 2: size of the total moment 0.00 μB per atom. Number 3: size of the total moment 0.00 μB per atom. Number 4: size of the total moment 0.00 μB per atom. Number 5: size of the total moment 0.00 μB per atom. Number 6: size of the total moment 0.00 μB per atom.